#1
First-principles (PBE) data for Sr3ScAl after structural relaxation, as listed in Alexandria.

## Properties
Its symmetry is Pm-3m.

Cell: 6.215 6.215 6.215 Å, 90.00 90.00 90.00°
Fractional positions:
Sr1 0.000 0.000 0.500
Sr2 0.000 0.500 0.000
Sr3 0.500 0.000 0.000
Sc1 0.000 0.000 0.000
Al1 0.500 0.500 0.500

=====

#2
First-principles (PBE) data for Sr3ScAl after structural relaxation, as listed in Alexandria.

## Properties
Its symmetry is Pm-3m.

Cell: 6.200 6.200 6.200 Å, 90.00 90.00 90.00°
Fractional positions:
Sr1 0.000 0.000 0.500
Sr2 0.000 0.500 0.000
Sr3 0.500 0.000 0.000
Sc1 0.500 0.500 0.500
Al1 0.000 0.000 0.000

=====

What should be chosen as the least stable of them? Choose #1.

=====

#1
First-principles (PBE) data for SrSc2Al2 after structural relaxation, as listed in Alexandria.

## Properties
Its symmetry is I4/mmm.

Cell: 7.183 7.183 7.183 Å, 142.88 142.88 53.50°
Fractional positions:
Sr1 0.000 0.000 0.000
Sc1 0.250 0.750 0.500
Sc2 0.750 0.250 0.500
Al1 0.396 0.396 0.000
Al2 0.604 0.604 0.000

=====

#2
First-principles (PBE) data for SrSc2Al2 after structural relaxation, as listed in Alexandria.

## Properties
Its symmetry is P4/mbm.

Cell: 8.468 8.468 3.401 Å, 90.00 90.00 90.00°
Fractional positions:
Sr1 0.000 0.000 0.000
Sr2 0.500 0.500 0.000
Sc1 0.174 0.326 0.500
Sc2 0.326 0.826 0.500
Sc3 0.674 0.174 0.500
Sc4 0.826 0.674 0.500
Al1 0.117 0.617 0.000
Al2 0.383 0.117 0.000
Al3 0.617 0.883 0.000
Al4 0.883 0.383 0.000

=====

What should be chosen as the least stable of them? Choose #1.